A relaxed structure of NbInPtBr2, computed with PBE-GGA.

Cell: 5.3096 5.3096 5.1557 Å, 90.00 90.00 90.00°
With the nearest neighbours (Å) after each atom.
Space group P4/mmm (No. 123)
Inequivalent atoms, fractional coordinates:
Nb: 0.0000 0.0000 0.0000 x1  2 Pt 2.58
In: 0.5000 0.5000 0.0000 x1  8 Br 3.70, 4 Nb 3.75
Pt: 0.0000 0.0000 0.5000 x1  2 Nb 2.58, 4 Br 2.65
Br: 0.0000 0.5000 0.5000 x2  2 Pt 2.65

Formation energy (no corrections) (eV/atom): 0.5525
Crystal system: tetragonal

A relaxed structure of Rb2NbInBr6, computed with PBE-GGA.

Cell: 11.5490 11.5490 11.5490 Å, 90.00 90.00 90.00°
With the nearest neighbours (Å) after each atom.
Space group Fm-3m (No. 225)
Inequivalent atoms, fractional coordinates:
Rb: 0.2500 0.2500 0.2500 x8  12 Br 4.09
Nb: 0.0000 0.0000 0.0000 x4  6 Br 2.66
In: 0.0000 0.0000 0.5000 x4  6 Br 3.12
Br: 0.0000 0.0000 0.2300 x24  1 Nb 2.66

Formation energy (no corrections) (eV/atom): -1.1146
Crystal system: cubic